This record from the Alexandria database describes crystalline CdGa3Pb at its relaxed geometry. The functional is GGA-PBE.

```
CdGa3Pb
1.0
5.193 0.000 0.000
0.000 5.193 0.000
0.000 0.000 5.193
Cd Ga Pb
1 3 1
direct
0.000 0.000 0.000 Cd
0.000 0.000 0.500 Ga
0.000 0.500 0.000 Ga
0.500 0.000 0.000 Ga
0.500 0.500 0.500 Pb
```

Output
- Energy above the lowest structure with this stoichiometry: 0 meV per atom
- Calculated formation energy: 0.4230 eV per atom
- Symmetry: No. 221

This record from the Alexandria database describes crystalline ScSnSb2 at its relaxed geometry. The functional is GGA-PBE.

```
ScSnSb2
1.0
2.092 1.208 7.403
-2.092 1.208 7.403
0.000 -2.416 7.403
Sc Sn Sb
1 1 2
direct
0.000 0.000 0.000 Sc
0.500 0.500 0.500 Sn
0.256 0.256 0.256 Sb
0.744 0.744 0.744 Sb
```

Output
- Formation energy without anion corrections: -1.38 eV per formula unit
- Symmetry: No. 166

This record from the Alexandria database describes crystalline DyTh2Ir at its relaxed geometry. The functional is GGA-PBE.

```
DyTh2Ir
1.0
3.835 0.000 0.000
0.000 10.056 0.000
-1.909 0.000 5.854
Dy Th Ir
2 4 2
direct
0.083 0.250 0.167 Dy
0.917 0.750 0.833 Dy
0.362 0.060 0.724 Th
0.362 0.440 0.724 Th
0.638 0.560 0.276 Th
0.638 0.940 0.276 Th
0.212 0.750 0.425 Ir
0.788 0.250 0.575 Ir
```

Output
- Energy above the lowest structure with this stoichiometry: 0 meV per atom
- Calculated formation energy: -0.5041 eV per atom
- Symmetry: No. 11

This record from the Alexandria database describes crystalline LiCe2MnS5 at its relaxed geometry. The functional is GGA-PBE.

```
LiCe2MnS5
1.0
1.977 -8.364 0.000
1.977 8.364 0.000
0.000 0.000 10.802
Li Ce Mn S
2 4 2 10
direct
0.220 0.780 0.500 Li
0.780 0.220 0.000 Li
0.114 0.886 0.801 Ce
0.124 0.876 0.185 Ce
0.876 0.124 0.685 Ce
0.886 0.114 0.301 Ce
0.409 0.591 0.983 Mn
0.591 0.409 0.483 Mn
0.031 0.969 0.559 S
0.299 0.701 0.840 S
0.310 0.690 0.150 S
0.360 0.640 0.497 S
0.485 0.515 0.793 S
0.515 0.485 0.293 S
0.640 0.360 0.997 S
0.690 0.310 0.650 S
0.701 0.299 0.340 S
0.969 0.031 0.059 S
```

Output
- Formation energy without anion corrections: -13.77 eV per formula unit
- Symmetry: No. 36

This record from the Alexandria database describes crystalline InHg3 at its relaxed geometry. The functional is GGA-PBE.

```
InHg3
1.0
6.000 0.000 0.000
0.000 6.000 0.000
0.000 0.000 6.000
In Hg
2 6
direct
0.000 0.000 0.000 In
0.500 0.500 0.500 In
0.000 0.250 0.500 Hg
0.000 0.750 0.500 Hg
0.250 0.500 0.000 Hg
0.500 0.000 0.250 Hg
0.500 0.000 0.750 Hg
0.750 0.500 0.000 Hg
```

Output
- Calculated formation energy: 0.0400 eV per atom
- Symmetry: No. 223

This record from the Alexandria database describes crystalline Al6Co5Tc at its relaxed geometry. The functional is GGA-PBE.

```
Al6Co5Tc
1.0
2.038 -6.123 0.000
2.038 6.123 0.000
0.000 0.000 5.822
Al Co Tc
6 5 1
direct
0.000 0.000 0.241 Al
0.000 0.000 0.759 Al
0.331 0.669 0.248 Al
0.331 0.669 0.752 Al
0.669 0.331 0.248 Al
0.669 0.331 0.752 Al
0.169 0.831 0.000 Co
0.169 0.831 0.500 Co
0.500 0.500 0.000 Co
0.831 0.169 0.000 Co
0.831 0.169 0.500 Co
0.500 0.500 0.500 Tc
```

Output
- Calculated formation energy: -0.5435 eV per atom
- Symmetry: No. 65

no.,Fermi-level density of states (states/eV/cell),DFT total energy (eV/atom)
1,5.0,-2.3178
2,2.9,-4.9910
3,9.8,-7.5798
4,19.5,-6.3728
5,4.2,-0.8710
6,6.4,-6.2393